VASP calculation (PBE) on a relaxed structure of Nb4Si3Tc.

Calculated values
As for the space group: I4/mcm, No. 140. Its size of the total moment is 0.000 μB per atom. As for the density: 7.37 g cm⁻³. The volume comes out at 249.6 Å³ per cell. As for the formation energy from raw total energies: -0.642 eV/atom.

Cell lengths 5.056, 7.467, 7.467 Å; angles 83.42, 70.21, 70.21 degrees
Sites, in units of the cell vectors:
Nb: 0.220 0.700 0.859
Si: 0.659 0.182 0.500
Si: 0.841 0.500 0.818
Si: 0.159 0.500 0.182
Tc: 0.250 0.500 0.500
Nb: 0.580 0.700 0.141
Nb: 0.780 0.300 0.141
Si: 0.750 0.000 0.000
Si: 0.250 0.000 0.000
Nb: 0.280 0.141 0.300
Tc: 0.750 0.500 0.500
Si: 0.341 0.818 0.500
Nb: 0.420 0.300 0.859
Nb: 0.920 0.859 0.300
Nb: 0.720 0.859 0.700
Nb: 0.080 0.141 0.700

---

VASP calculation (PBE) on a relaxed structure of Ag3P.

Calculated values
As for the space group: Pm-3m, No. 221. Its size of the total moment is 0.000 μB per atom. As for the density: 8.57 g cm⁻³. Its formation enthalpy at 0 K is 214 meV/atom. The volume comes out at 68.7 Å³ per cell.

Cell lengths 4.096, 4.096, 4.096 Å; angles 90.00, 90.00, 90.00 degrees
Sites, in units of the cell vectors:
Ag: 0.000 0.500 0.500
Ag: 0.500 0.500 0.000
P: 0.000 0.000 0.000
Ag: 0.500 0.000 0.500

---

VASP calculation (PBE) on a relaxed structure of BaPa4.

Calculated values
As for the space group: Pm-3m, No. 221. Its size of the total moment is 0.185 μB per atom. As for the density: 10.36 g cm⁻³. Its formation enthalpy at 0 K is 1954 meV/atom. The volume comes out at 170.1 Å³ per cell.

Cell lengths 5.541, 5.541, 5.541 Å; angles 90.00, 90.00, 90.00 degrees
Each line ends with the local moment (μB).
Sites, in units of the cell vectors:
Ba: 0.500 0.500 0.500  -0.01
Pa: 0.500 0.000 0.500  0.00
Pa: 0.500 0.500 0.000  0.00
Pa: 0.000 0.500 0.500  0.00
Pa: 0.000 0.000 0.000  0.78

---

VASP calculation (PBE) on a relaxed structure of Ag3SBr.

Calculated values
As for the space group: P2_1/c, No. 14. Its size of the total moment is 0.000 μB per atom. As for the density: 5.98 g cm⁻³. The volume comes out at 483.7 Å³ per cell. As for the formation energy from raw total energies: -0.134 eV/atom.

Cell lengths 6.057, 10.609, 8.796 Å; angles 121.15, 90.00, 90.00 degrees
Sites, in units of the cell vectors:
Ag: 0.475 0.978 0.766
Br: 0.240 0.426 0.848
Ag: 0.182 0.148 0.098
S: 0.752 0.129 0.505
Ag: 0.999 0.691 0.511
Br: 0.760 0.574 0.152
S: 0.248 0.871 0.495
Ag: 0.001 0.309 0.489
S: 0.252 0.871 0.995
S: 0.748 0.129 0.005
Ag: 0.975 0.022 0.734
Ag: 0.525 0.022 0.234
Ag: 0.501 0.691 0.011
Ag: 0.682 0.852 0.402
Ag: 0.818 0.852 0.902
Ag: 0.499 0.309 0.989
Br: 0.260 0.426 0.348
Br: 0.740 0.574 0.652
Ag: 0.025 0.978 0.266
Ag: 0.318 0.148 0.598

---

VASP calculation (PBE) on a relaxed structure of Pm2Y5HoTh.

Calculated values
As for the space group: I4/mcm, No. 140. Its size of the total moment is 0.000 μB per atom. As for the density: 6.37 g cm⁻³. Its formation enthalpy at 0 K is 289 meV/atom. The volume comes out at 590.1 Å³ per cell.

Cell lengths 8.754, 8.754, 9.880 Å; angles 116.30, 116.30, 90.00 degrees
Sites, in units of the cell vectors:
Th: 0.750 0.750 0.500
Pm: 0.115 0.385 0.000
Y: 0.073 0.573 0.723
Ho: 0.750 0.250 0.500
Y: 0.000 0.000 0.000
Y: 0.573 0.649 0.723
Y: 0.649 0.149 0.723
Y: 0.149 0.073 0.723
Y: 0.851 0.927 0.277
Pm: 0.615 0.115 0.000
Y: 0.351 0.851 0.277
Pm: 0.385 0.885 0.000
Y: 0.500 0.500 0.000
Pm: 0.885 0.615 0.000
Y: 0.427 0.351 0.277
Ho: 0.250 0.750 0.500
Th: 0.250 0.250 0.500
Y: 0.927 0.427 0.277

---

VASP calculation (PBE) on a relaxed structure of Rb3TeAu.

Calculated values
As for the space group: Pm-3m, No. 221. Its size of the total moment is 0.000 μB per atom. The energy above the most stable polymorph in this dataset comes out at 188 meV per atom. As for the density: 2.93 g cm⁻³. The volume comes out at 329.3 Å³ per cell. As for the formation energy from raw total energies: -0.512 eV/atom.

Cell lengths 6.905, 6.905, 6.905 Å; angles 90.00, 90.00, 90.00 degrees
Sites, in units of the cell vectors:
Au: 0.500 0.500 0.500
Rb: 0.000 0.500 0.000
Rb: 0.000 0.000 0.500
Rb: 0.500 0.000 0.000
Te: 0.000 0.000 0.000